Below is an optimized crystal structure of MgSe2NF, with properties calculated at the GGA-PBE level.

Cell: 4.6284 4.6284 4.1267 Å, 90.00 90.00 90.00°
Space group P4/mmm (No. 123)
Inequivalent atoms, fractional coordinates:
1 Mg 0.0000 0.0000 0.0000
2 Se 0.0000 0.5000 0.5000
3 N 0.5000 0.5000 0.0000
4 F 0.5000 0.5000 0.5000

Summary:
energy relative to the elements, uncorrected: 0.80 eV/atom
polymorph energy (0 for the lowest one): 81.9 meV per atom


Below is an optimized crystal structure of MgSiNF2, with properties calculated at the GGA-PBE level.

Cell: 4.2858 4.2858 3.2708 Å, 90.00 90.00 90.00°
Space group P4/mmm (No. 123)
Inequivalent atoms, fractional coordinates:
1 Mg 0.0000 0.0000 0.0000
2 Si 0.5000 0.5000 0.5000
3 N 0.5000 0.5000 0.0000
4 F 0.0000 0.5000 0.5000

Summary:
energy relative to the elements, uncorrected: -1.21 eV/atom
polymorph energy (0 for the lowest one): 0.0 meV per atom


Below is an optimized crystal structure of MgSiNF2, with properties calculated at the GGA-PBE level.

Cell: 3.6015 3.6015 4.7697 Å, 90.00 90.00 90.00°
Space group P4/mmm (No. 123)
Inequivalent atoms, fractional coordinates:
1 Mg 0.0000 0.0000 0.0000
2 Si 0.5000 0.5000 0.5000
3 N 0.0000 0.0000 0.5000
4 F 0.0000 0.5000 0.0000

Summary:
energy relative to the elements, uncorrected: -1.01 eV/atom
polymorph energy (0 for the lowest one): 193.8 meV per atom


no.,magnetization (Bohr magnetons per cell)
1,1.9
2,0.0
3,0.0